A geometry-optimized NiC8 structure, computed with GGA-PBE.

ΔE_f: 1.714 eV per atom
Fermi-level density of states: 0.6409 states/eV/atom
space-group type: I4/mmm, No. 139

```
9
Lattice="-2.709 2.709 2.927 2.709 -2.709 2.927 2.709 2.709 -2.927" Properties=species:S:1:pos:R:3 pbc="T T T"
C 1.374 1.374 2.927
C 1.374 -1.374 2.927
C 0.000 1.995 0.000
C 3.424 0.000 0.000
C 1.335 1.335 0.000
C -1.374 1.374 2.927
C 1.995 0.000 0.000
Ni 0.000 0.000 0.000
C 0.000 3.424 0.000
```

A geometry-optimized Th4SbAsPb2 structure, computed with GGA-PBE.

E_form (uncorrected): -0.67 eV/atom
Fermi-level density of states: 0.6296 states/eV/atom
space-group type: P2/m, No. 10

```
8
Lattice="-1.055 4.012 -1.709 2.053 -2.467 -7.056 -6.173 -3.139 -3.556" Properties=species:S:1:pos:R:3 pbc="T T T"
Th -4.521 -0.959 -5.346
Th -3.069 -4.161 -7.870
Th -0.655 -0.636 -6.975
Sb 0.499 0.772 -4.383
As -2.060 -2.803 -5.306
Pb -3.614 0.436 -2.633
Pb -6.173 -3.139 -3.556
Th -2.107 2.567 -4.451
```

A geometry-optimized BeAgOs4 structure, computed with GGA-PBE.

ΔE_f: 0.975 eV per atom
Fermi-level density of states: 1.2467 states/eV/atom
space-group type: F-43m, No. 216

```
6
Lattice="0.569 1.131 4.985 -3.021 3.537 2.196 -3.594 -1.434 3.389" Properties=species:S:1:pos:R:3 pbc="T T T"
Os -4.066 0.494 5.659
Be 0.000 0.000 0.000
Os -2.266 1.212 3.961
Os -1.981 1.778 6.458
Os -3.779 2.983 5.061
Ag -4.535 2.425 7.927
```

A geometry-optimized MnV3Zn structure, computed with GGA-PBE.

ΔE_f: 0.720 eV per atom
energy above the most stable polymorph in this dataset: 0 meV/atom
Fermi-level density of states: 0.9674 states/eV/atom
space-group type: Pm-3m, No. 221

```
5
Lattice="4.300 0.000 0.000 0.000 4.300 0.000 0.000 0.000 4.300" Properties=species:S:1:pos:R:3 pbc="T T T"
V 0.000 2.150 0.000
Zn 2.150 2.150 2.150
V 2.150 0.000 0.000
V 0.000 0.000 2.150
Mn 0.000 0.000 0.000
```

A geometry-optimized CdFe2Au structure, computed with GGA-PBE.

ΔE_f: 0.258 eV per atom
Fermi-level density of states: 0.9107 states/eV/atom
space-group type: P2/m, No. 10

```
4
Lattice="3.924 0.000 0.000 0.000 2.846 0.005 0.000 2.898 5.641" Properties=species:S:1:pos:R:3 pbc="T T T"
Cd 1.962 4.308 4.235
Au 1.962 1.436 1.412
Fe 0.000 2.872 2.735
Fe 0.000 2.846 0.093
```

A geometry-optimized YSb2As structure, computed with GGA-PBE.

E_form (uncorrected): -0.15 eV/atom
Fermi-level density of states: 0.5601 states/eV/atom
space-group type: Cmmm, No. 65

```
4
Lattice="-0.109 2.375 -2.699 -2.746 -2.257 -0.548 -4.962 4.935 4.543" Properties=species:S:1:pos:R:3 pbc="T T T"
As -5.149 3.760 1.784
Y -2.668 1.293 -0.488
Sb -4.914 4.887 4.499
Sb -2.528 2.515 2.315
```

A geometry-optimized TaAs2HSe structure, computed with GGA-PBE.

energy above the most stable polymorph in this dataset: 0 meV/atom
Fermi-level density of states: 0.7443 states/eV/atom
space-group type: P4/mmm, No. 123

```
5
Lattice="-0.900 1.309 4.470 -3.441 0.095 -0.721 -0.389 -4.557 1.256" Properties=species:S:1:pos:R:3 pbc="T T T"
As -0.195 -2.279 0.628
As -0.450 0.654 2.235
Ta -1.720 0.048 -0.360
H 0.000 0.000 0.000
Se -2.365 -1.577 2.502
```

A geometry-optimized CaNiPt2 structure, computed with GGA-PBE.

ΔE_f: -0.032 eV per atom
Fermi-level density of states: 0.9411 states/eV/atom
space-group type: R-3m, No. 166

```
4
Lattice="-0.482 1.522 -8.772 -2.124 -0.949 -8.607 -3.367 1.698 -8.079" Properties=species:S:1:pos:R:3 pbc="T T T"
Ca -1.493 0.568 -6.364
Pt -0.044 0.017 -0.186
Ni -4.480 1.703 -19.093
Pt -2.943 1.119 -12.543
```

A geometry-optimized LaSmDy3Y structure, computed with GGA-PBE.

ΔE_f: 0.200 eV per atom
Fermi-level density of states: 1.6912 states/eV/atom
space-group type: C2/m, No. 12

```
12
Lattice="-0.224 -3.539 4.451 -6.229 -4.016 -7.144 5.484 -3.663 -2.636" Properties=species:S:1:pos:R:3 pbc="T T T"
Dy -2.890 -6.657 -1.800
Y -1.458 -6.037 -4.872
La -1.792 -3.546 0.729
Dy 1.921 -4.560 -3.528
Sm 0.797 -1.575 -1.212
La 0.823 -7.671 -6.057
Sm -1.766 -9.642 -4.116
Dy -1.472 -3.432 -2.802
Dy 0.503 -7.785 -2.526
Dy -4.609 -6.489 -5.390
Y 0.490 -5.181 -0.456
Dy 3.640 -4.729 0.062
```

A geometry-optimized Ag2SbPb structure, computed with GGA-PBE.

E_form (uncorrected): 0.11 eV/atom
Fermi-level density of states: 0.3522 states/eV/atom
space-group type: R3m, No. 160

```
4
Lattice="-1.025 -4.113 1.737 3.321 -2.664 1.692 0.033 0.096 6.288" Properties=species:S:1:pos:R:3 pbc="T T T"
Ag 0.605 -1.744 2.268
Sb 1.580 -4.474 8.459
Ag 0.197 -0.432 5.134
Pb 1.144 -3.275 5.001
```

A geometry-optimized MgScTe2Os structure, computed with GGA-PBE.

E_form (uncorrected): 0.27 eV/atom
Fermi-level density of states: 0.7330 states/eV/atom
space-group type: P4/mmm, No. 123

```
5
Lattice="-2.300 3.278 3.594 -3.658 -3.108 0.494 2.650 -2.489 3.966" Properties=species:S:1:pos:R:3 pbc="T T T"
Te -1.150 1.639 1.797
Mg -1.654 -1.159 4.027
Sc -1.829 -1.554 0.247
Te 1.325 -1.244 1.983
Os 0.000 0.000 0.000
```

A geometry-optimized TcRuSe2 structure, computed with GGA-PBE.

E_form (uncorrected): 0.20 eV/atom
energy above the most stable polymorph in this dataset: 278 meV/atom
Fermi-level density of states: 0.7842 states/eV/atom
space-group type: P4/mmm, No. 123

```
4
Lattice="-2.497 0.671 -1.765 -0.207 -3.006 -0.850 -3.737 -1.117 4.864" Properties=species:S:1:pos:R:3 pbc="T T T"
Ru -4.155 -2.005 2.341
Se -1.857 -0.555 2.416
Se -0.012 -0.004 0.016
Tc -2.287 -1.447 -0.091
```